1.
A plane-wave DFT calculation with GGA-PBE was carried out for an optimized crystal structure of NaGa3Pt2.

Calculated values
- final energy (eV/atom) = -4.24
- total magnetization (μB/atom) = 0.00
- symmetry = No. 63

Cell lengths 5.5668, 6.4330, 6.4330 Å; angles 100.58, 90.00, 90.00 degrees
With the nearest neighbours (Å) after each atom.
Fractional coordinates of all 12 atoms:
Na 0.2500 0.3665 0.3665  9 Ga 3.26-3.46, 4 Pt 3.30, 2 Na 3.54
Na 0.7500 0.6335 0.6335  9 Ga 3.26-3.46, 4 Pt 3.30, 2 Na 3.54
Pt 0.0000 0.2186 0.7814  6 Ga 2.54-2.72, 2 Pt 2.78
Pt 0.5000 0.2186 0.7814  6 Ga 2.54-2.72, 2 Pt 2.78
Pt 0.0000 0.7814 0.2186  6 Ga 2.54-2.72, 2 Pt 2.78
Pt 0.5000 0.7814 0.2186  6 Ga 2.54-2.72, 2 Pt 2.78
Ga 0.7500 0.0300 0.0300  4 Pt 2.58, 4 Ga 2.65-2.83
Ga 0.2500 0.8936 0.5502  4 Pt 2.54-2.72, 1 Ga 2.65
Ga 0.2500 0.5502 0.8936  4 Pt 2.54-2.72, 1 Ga 2.65
Ga 0.7500 0.4498 0.1064  4 Pt 2.54-2.72, 1 Ga 2.65
Ga 0.2500 0.9700 0.9700  4 Pt 2.58, 4 Ga 2.65-2.83
Ga 0.7500 0.1064 0.4498  4 Pt 2.54-2.72, 1 Ga 2.65

---

2.
A plane-wave DFT calculation with GGA-PBE was carried out for an optimized crystal structure of La2HgPdC.

Calculated values
- final energy (eV/atom) = -5.25
- total magnetization (μB/atom) = 0.00
- symmetry = No. 123

Cell lengths 5.3743, 5.3743, 4.0679 Å; angles 90.00, 90.00, 90.00 degrees
With the nearest neighbours (Å) after each atom.
Fractional coordinates of all 5 atoms:
La 0.5000 0.0000 0.0000  2 C 2.69
La 0.0000 0.5000 0.0000  2 C 2.69
Hg 0.5000 0.5000 0.5000  8 La 3.37
Pd 0.0000 0.0000 0.5000  2 C 2.03
C 0.0000 0.0000 0.0000  2 Pd 2.03

---

3.
A plane-wave DFT calculation with GGA-PBE was carried out for an optimized crystal structure of HoCu4Pd3O12.

Calculated values
- final energy (eV/atom) = -5.54
- formation energy without anion corrections (eV/f.u.) = -14.825
- total magnetization (μB/atom) = 0.09
- symmetry = No. 204

Cell lengths 6.4615, 6.4615, 6.4615 Å; angles 109.47, 109.47, 109.47 degrees
With the nearest neighbours (Å) after each atom.
Fractional coordinates of all 20 atoms:
O 0.4719 0.2965 0.1754  2 Cu 1.98, 1 Pd 2.00
O 0.1754 0.8790 0.7035  2 Cu 1.98, 1 Pd 2.00
O 0.7035 0.1754 0.8790  2 Cu 1.98, 1 Pd 2.00
O 0.8246 0.1210 0.2965  2 Cu 1.98, 1 Pd 2.00
O 0.1210 0.2965 0.8246  2 Cu 1.98, 1 Pd 2.00
O 0.2965 0.1754 0.4719  2 Cu 1.98, 1 Pd 2.00
O 0.8246 0.5281 0.7035  2 Cu 1.98, 1 Pd 2.00
O 0.2965 0.8246 0.1210  2 Cu 1.98, 1 Pd 2.00
O 0.7035 0.8246 0.5281  2 Cu 1.98, 1 Pd 2.00
O 0.8790 0.7035 0.1754  2 Cu 1.98, 1 Pd 2.00
O 0.1754 0.4719 0.2965  2 Cu 1.98, 1 Pd 2.00
O 0.5281 0.7035 0.8246  2 Cu 1.98, 1 Pd 2.00
Pd 0.0000 0.5000 0.5000  4 O 2.00
Pd 0.5000 0.5000 0.0000  4 O 2.00
Pd 0.5000 0.0000 0.5000  4 O 2.00
Cu 0.5000 0.5000 0.5000  6 O 1.98
Cu 0.5000 0.0000 0.0000  6 O 1.98
Cu 0.0000 0.0000 0.5000  6 O 1.98
Cu 0.0000 0.5000 0.0000  6 O 1.98
Ho 0.0000 0.0000 0.0000  12 O 2.57

---

4.
A plane-wave DFT calculation with GGA-PBE was carried out for an optimized crystal structure of LiAc2Cd2.

Calculated values
- final energy (eV/atom) = -2.50
- total magnetization (μB/atom) = 0.00
- symmetry = No. 15

Cell lengths 6.8023, 9.5285, 13.4052 Å; angles 23.70, 75.30, 69.09 degrees
With the nearest neighbours (Å) after each atom.
Fractional coordinates of all 10 atoms:
Li 0.8116 0.2500 0.7500  2 Cd 2.84
Li 0.1884 0.7500 0.2500  2 Cd 2.84
Ac 0.4741 0.8184 0.9244  5 Cd 3.33-3.66, 2 Ac 3.68
Ac 0.2168 0.6816 0.5756  5 Cd 3.33-3.66, 2 Ac 3.68
Ac 0.7832 0.3184 0.4244  5 Cd 3.33-3.66, 2 Ac 3.68
Ac 0.5259 0.1816 0.0756  5 Cd 3.33-3.66, 2 Ac 3.68
Cd 0.3101 0.1432 0.4959  1 Li 2.84, 1 Cd 2.95
Cd 0.0508 0.6432 0.9959  1 Li 2.84, 1 Cd 2.95
Cd 0.9492 0.3568 0.0041  1 Li 2.84, 1 Cd 2.95
Cd 0.6899 0.8568 0.5041  1 Li 2.84, 1 Cd 2.95

---

Q: final energy of number 3 (HoCu4Pd3O12)?
A: -5.54 eV/atom

---

Q: total magnetization of number 1 (NaGa3Pt2)?
A: 0.00 μB/atom

---

Q: Among the records above, which one has the lowest final energy?
A: HoCu4Pd3O12